# 1
In2AsOs: relaxed, PBE.

```
In2AsOs
1.0
4.309 0.000 0.000
0.000 4.309 0.000
0.000 0.000 8.201
In As Os
4 2 2
direct
0.000 0.500 0.250
0.000 0.500 0.750
0.500 0.000 0.250
0.500 0.000 0.750
0.000 0.000 0.000
0.500 0.500 0.500
0.000 0.000 0.500
0.500 0.500 0.000
```

Values from the calculation:
ΔH_f (0 K): 229 kJ/mol of formula units
DFT total energy: -4.746 eV per atom



# 2
InAsOs2: relaxed, PBE.

```
InAsOs2
1.0
3.080 0.000 0.000
0.000 4.083 0.000
0.000 0.000 10.739
In As Os
2 2 4
direct
0.000 0.000 0.000
0.500 0.500 0.500
0.000 0.500 0.254
0.500 0.000 0.754
0.000 0.000 0.577
0.000 0.500 0.814
0.500 0.000 0.314
0.500 0.500 0.077
```

Values from the calculation:
energy relative to the lowest polymorph listed for this composition: 0.265 eV/atom
ΔH_f (0 K): 218 kJ/mol of formula units
DFT total energy: -6.898 eV per atom



# 3
InAsOs2: relaxed, PBE.

```
InAsOs2
1.0
2.830 0.000 0.000
0.000 4.973 0.000
0.000 0.000 10.435
In As Os
2 2 4
direct
0.000 0.000 0.000
0.500 0.500 0.000
0.000 0.500 0.338
0.500 0.000 0.338
0.000 0.000 0.543
0.000 0.500 0.754
0.500 0.000 0.754
0.500 0.500 0.543
```

Values from the calculation:
energy relative to the lowest polymorph listed for this composition: 0.323 eV/atom
ΔH_f (0 K): 240 kJ/mol of formula units
DFT total energy: -6.840 eV per atom



# 4
InAsOs2: relaxed, PBE.

```
InAsOs2
1.0
6.335 0.000 0.000
0.000 6.335 0.000
0.000 0.000 6.335
In As Os
4 4 8
direct
0.000 0.000 0.000
0.000 0.500 0.500
0.500 0.000 0.500
0.500 0.500 0.000
0.000 0.000 0.500
0.000 0.500 0.000
0.500 0.000 0.000
0.500 0.500 0.500
0.250 0.250 0.250
0.250 0.250 0.750
0.250 0.750 0.250
0.250 0.750 0.750
0.750 0.250 0.250
0.750 0.250 0.750
0.750 0.750 0.250
0.750 0.750 0.750
```

Values from the calculation:
energy relative to the lowest polymorph listed for this composition: 0.279 eV/atom
ΔH_f (0 K): 223 kJ/mol of formula units
DFT total energy: -6.884 eV per atom